The following is a DFT calculation (PBE) of LaTb2Dy8 after structural relaxation.

Properties
**Symmetry**: Immm (71)

```
LaTb2Dy8
1.0
-2.758 4.083 7.985
2.758 -4.083 7.985
2.758 4.083 -7.985
La Tb Dy
1 2 8
direct
0.000 0.000 0.000
0.301 0.301 0.000
0.699 0.699 0.000
0.153 0.859 0.294
0.163 0.663 0.500
0.296 0.500 0.796
0.435 0.141 0.294
0.565 0.859 0.706
0.704 0.500 0.204
0.837 0.337 0.500
0.847 0.141 0.706
```

---

The following is a DFT calculation (PBE) of SrHO after structural relaxation.

Properties
**Symmetry**: Pmmn (59)

```
SrHO
1.0
4.464 0.000 0.000
0.000 5.082 0.000
0.000 0.000 7.762
Sr H O
4 4 4
direct
0.250 0.250 0.083
0.250 0.750 0.416
0.750 0.250 0.584
0.750 0.750 0.917
0.250 0.176 0.750
0.250 0.324 0.750
0.750 0.676 0.250
0.750 0.824 0.250
0.250 0.250 0.409
0.250 0.750 0.073
0.750 0.250 0.927
0.750 0.750 0.591
```

---

no.,D(E_F) (states/eV/cell),energy relative to the lowest polymorph listed for this composition (meV/atom),energy (eV/atom)
1,15.98,0.0,-4.5180
2,0.00,0.0,-5.0197